No. 1
# CePr2Y12, optimized geometry, DFT GGA-PBE
data_CePr2Y12
_chemical_formula_sum 'Ce2 Pr4 Y24'
_cell_length_a 6.4909
_cell_length_b 6.4909
_cell_length_c 25.3096
_cell_angle_alpha 90.00
_cell_angle_beta 90.00
_cell_angle_gamma 90.00
_space_group_name_H-M_alt 'P 4/n b m'
_space_group_IT_number 125
loop_
_space_group_symop_operation_xyz
'x,y,z'
'-x,-y,-z'
'-y+1/2,x,z'
'y+1/2,-x,-z'
'-x+1/2,-y+1/2,z'
'x+1/2,y+1/2,-z'
'y,-x+1/2,z'
'-y,x+1/2,-z'
'x,-y+1/2,-z'
'-x,y+1/2,z'
'-y+1/2,-x+1/2,-z'
'y+1/2,x+1/2,z'
'-x+1/2,y,-z'
'x+1/2,-y,z'
'y,x,-z'
'-y,-x,z'
loop_
_atom_site_label
_atom_site_type_symbol
_atom_site_fract_x
_atom_site_fract_y
_atom_site_fract_z
Ce1 Ce 0.2500 0.7500 0.0000
Pr1 Pr 0.2500 0.7500 0.2733
Y1 Y 0.0667 0.5667 0.1154
Y2 Y 0.0814 0.5814 0.4394
Y3 Y 0.2500 0.2500 0.2150
Y4 Y 0.2500 0.2500 0.3401
# calculated total energy	-5.854	eV/atom
# crystal system	tetragonal
# formation energy from the elements	0.350	eV per atom
# Fermi-level density of states	32.10	states/eV/f.u.
# total magnetic moment	3.0	Bohr magnetons per cell

No. 2
# CePr3Y8, optimized geometry, DFT GGA-PBE
data_CePr3Y8
_chemical_formula_sum 'Ce2 Pr6 Y16'
_cell_length_a 8.7848
_cell_length_b 8.7848
_cell_length_c 11.4468
_cell_angle_alpha 90.00
_cell_angle_beta 90.00
_cell_angle_gamma 90.00
_space_group_name_H-M_alt 'I -4 2 m'
_space_group_IT_number 121
_space_group_name_Hall 'I -4 2'
loop_
_atom_site_label
_atom_site_type_symbol
_atom_site_fract_x
_atom_site_fract_y
_atom_site_fract_z
Ce1 Ce 0.0000 0.0000 0.0000
Pr1 Pr 0.0000 0.0000 0.5000
Pr2 Pr 0.0000 0.5000 0.2500
Y1 Y 0.1248 0.1248 0.2359
Y2 Y 0.2311 0.2311 0.9695
# calculated total energy	-5.401	eV/atom
# crystal system	tetragonal
# formation energy from the elements	0.598	eV per atom
# Fermi-level density of states	21.05	states/eV/f.u.
# total magnetic moment	0.0	Bohr magnetons per cell

No. 3
# Ce2PrY, optimized geometry, DFT GGA-PBE
data_Ce2PrY
_chemical_formula_sum 'Ce6 Pr3 Y3'
_cell_length_a 3.4130
_cell_length_b 3.4130
_cell_length_c 37.2901
_cell_angle_alpha 90.00
_cell_angle_beta 90.00
_cell_angle_gamma 120.00
_space_group_name_H-M_alt 'R -3 m'
_space_group_IT_number 166
_space_group_name_Hall '-R 3 2"'
loop_
_atom_site_label
_atom_site_type_symbol
_atom_site_fract_x
_atom_site_fract_y
_atom_site_fract_z
Ce1 Ce 0.0000 0.0000 0.0848
Pr1 Pr 0.0000 0.0000 0.5000
Y1 Y 0.0000 0.0000 0.0000
# calculated total energy	-5.524	eV/atom
# crystal system	trigonal
# formation energy from the elements	0.254	eV per atom
# Fermi-level density of states	10.83	states/eV/f.u.
# total magnetic moment	5.2	Bohr magnetons per cell

No. 4
# CePr10Y4, optimized geometry, DFT GGA-PBE
data_CePr10Y4
_chemical_formula_sum 'Ce2 Pr20 Y8'
_cell_length_a 9.9527
_cell_length_b 9.9527
_cell_length_c 10.8071
_cell_angle_alpha 90.00
_cell_angle_beta 90.00
_cell_angle_gamma 90.00
_space_group_name_H-M_alt 'I 4/m'
_space_group_IT_number 87
_space_group_name_Hall '-I 4'
loop_
_atom_site_label
_atom_site_type_symbol
_atom_site_fract_x
_atom_site_fract_y
_atom_site_fract_z
Ce1 Ce 0.0000 0.0000 0.0000
Pr1 Pr 0.0000 0.5000 0.2500
Pr2 Pr 0.1159 0.2125 0.3435
Y1 Y 0.0586 0.3305 0.0000
# calculated total energy	-4.995	eV/atom
# crystal system	tetragonal
# formation energy from the elements	0.310	eV per atom
# Fermi-level density of states	25.78	states/eV/f.u.
# total magnetic moment	2.5	Bohr magnetons per cell

No. 5
# CePr4Y6, optimized geometry, DFT GGA-PBE
data_CePr4Y6
_chemical_formula_sum 'Ce4 Pr16 Y24'
_cell_length_a 5.8338
_cell_length_b 9.7644
_cell_length_c 26.2590
_cell_angle_alpha 90.00
_cell_angle_beta 90.00
_cell_angle_gamma 90.00
_space_group_name_H-M_alt 'C m c m'
_space_group_IT_number 63
_space_group_name_Hall '-C 2c 2'
loop_
_atom_site_label
_atom_site_type_symbol
_atom_site_fract_x
_atom_site_fract_y
_atom_site_fract_z
Ce1 Ce 0.0000 0.1862 0.2500
Pr1 Pr 0.0000 0.1573 0.5442
Pr2 Pr 0.0000 0.4701 0.6232
Y1 Y 0.0000 0.1428 0.6829
Y2 Y 0.0000 0.1882 0.1031
Y3 Y 0.0000 0.4801 0.7500
Y4 Y 0.0000 0.5000 0.0000
# calculated total energy	-5.670	eV/atom
# crystal system	orthorhombic
# formation energy from the elements	0.133	eV per atom
# Fermi-level density of states	23.06	states/eV/f.u.
# total magnetic moment	3.2	Bohr magnetons per cell

No. 6
# CePr4Y, optimized geometry, DFT GGA-PBE
data_CePr4Y
_chemical_formula_sum 'Ce2 Pr8 Y2'
_cell_length_a 6.3412
_cell_length_b 10.9901
_cell_length_c 6.3342
_cell_angle_alpha 90.00
_cell_angle_beta 109.30
_cell_angle_gamma 90.00
_space_group_name_H-M_alt 'C 1 2/m 1'
_space_group_IT_number 12
_space_group_name_Hall '-C 2y'
loop_
_atom_site_label
_atom_site_type_symbol
_atom_site_fract_x
_atom_site_fract_y
_atom_site_fract_z
Ce1 Ce 0.0000 0.0000 0.0000
Pr1 Pr 0.0000 0.1635 0.5000
Pr2 Pr 0.0000 0.3343 0.0000
Y1 Y 0.0000 0.5000 0.5000
# calculated total energy	-5.190	eV/atom
# crystal system	monoclinic
# formation energy from the elements	0.063	eV per atom
# Fermi-level density of states	13.30	states/eV/f.u.
# total magnetic moment	2.3	Bohr magnetons per cell

No. 7
# CePr8Y3, optimized geometry, DFT GGA-PBE
data_CePr8Y3
_chemical_formula_sum 'Ce2 Pr16 Y6'
_cell_length_a 8.8234
_cell_length_b 8.8234
_cell_length_c 11.6451
_cell_angle_alpha 90.00
_cell_angle_beta 90.00
_cell_angle_gamma 90.00
_space_group_name_H-M_alt 'I -4 2 m'
_space_group_IT_number 121
_space_group_name_Hall 'I -4 2'
loop_
_atom_site_label
_atom_site_type_symbol
_atom_site_fract_x
_atom_site_fract_y
_atom_site_fract_z
Ce1 Ce 0.0000 0.0000 0.0000
Pr1 Pr 0.1217 0.1217 0.7591
Pr2 Pr 0.2369 0.2369 0.0195
Y1 Y 0.0000 0.0000 0.5000
Y2 Y 0.0000 0.5000 0.2500
# calculated total energy	-4.765	eV/atom
# crystal system	tetragonal
# formation energy from the elements	0.532	eV per atom
# Fermi-level density of states	20.50	states/eV/f.u.
# total magnetic moment	0.0	Bohr magnetons per cell

No. 8
# Ce2PrY, optimized geometry, DFT GGA-PBE
data_Ce2PrY
_chemical_formula_sum 'Ce2 Pr1 Y1'
_cell_length_a 3.5080
_cell_length_b 3.5080
_cell_length_c 10.3364
_cell_angle_alpha 90.00
_cell_angle_beta 90.00
_cell_angle_gamma 90.00
_space_group_name_H-M_alt 'P 4/m m m'
_space_group_IT_number 123
_space_group_name_Hall '-P 4 2'
loop_
_atom_site_label
_atom_site_type_symbol
_atom_site_fract_x
_atom_site_fract_y
_atom_site_fract_z
Ce1 Ce 0.0000 0.0000 0.2477
Pr1 Pr 0.5000 0.5000 0.5000
Y1 Y 0.5000 0.5000 0.0000
# calculated total energy	-5.650	eV/atom
# crystal system	tetragonal
# formation energy from the elements	0.128	eV per atom
# Fermi-level density of states	11.21	states/eV/f.u.
# total magnetic moment	1.7	Bohr magnetons per cell

No. 9
# CePrY3, optimized geometry, DFT GGA-PBE
data_CePrY3
_chemical_formula_sum 'Ce2 Pr2 Y6'
_cell_length_a 6.2245
_cell_length_b 6.2439
_cell_length_c 9.5032
_cell_angle_alpha 102.69
_cell_angle_beta 108.82
_cell_angle_gamma 99.97
_space_group_name_H-M_alt 'P -1'
_space_group_IT_number 2
_space_group_name_Hall '-P 1'
loop_
_atom_site_label
_atom_site_type_symbol
_atom_site_fract_x
_atom_site_fract_y
_atom_site_fract_z
Ce1 Ce 0.0945 0.0465 0.3551
Pr1 Pr 0.0975 0.5478 0.8457
Y1 Y 0.2957 0.1476 0.0496
Y2 Y 0.3028 0.6497 0.5509
Y3 Y 0.4992 0.2416 0.7466
# calculated total energy	-5.952	eV/atom
# crystal system	triclinic
# formation energy from the elements	0.069	eV per atom
# Fermi-level density of states	10.83	states/eV/f.u.
# total magnetic moment	2.5	Bohr magnetons per cell

No. 10
# CePr14Y, optimized geometry, DFT GGA-PBE
data_CePr14Y
_chemical_formula_sum 'Ce1 Pr14 Y1'
_cell_length_a 7.3830
_cell_length_b 7.3830
_cell_length_c 10.4798
_cell_angle_alpha 90.00
_cell_angle_beta 90.00
_cell_angle_gamma 90.00
_space_group_name_H-M_alt 'P 4/m m m'
_space_group_IT_number 123
_space_group_name_Hall '-P 4 2'
loop_
_atom_site_label
_atom_site_type_symbol
_atom_site_fract_x
_atom_site_fract_y
_atom_site_fract_z
Ce1 Ce 0.0000 0.0000 0.0000
Pr1 Pr 0.0000 0.0000 0.5000
Pr2 Pr 0.0000 0.5000 0.0000
Pr3 Pr 0.0000 0.5000 0.5000
Pr4 Pr 0.2488 0.2488 0.2469
Pr5 Pr 0.5000 0.5000 0.5000
Y1 Y 0.5000 0.5000 0.0000
# calculated total energy	-4.928	eV/atom
# crystal system	tetragonal
# formation energy from the elements	0.029	eV per atom
# Fermi-level density of states	29.98	states/eV/f.u.
# total magnetic moment	1.3	Bohr magnetons per cell

No. 11
# CePr6Y8, optimized geometry, DFT GGA-PBE
data_CePr6Y8
_chemical_formula_sum 'Ce3 Pr18 Y24'
_cell_length_a 9.1642
_cell_length_b 9.1642
_cell_length_c 21.1659
_cell_angle_alpha 90.00
_cell_angle_beta 90.00
_cell_angle_gamma 120.00
_space_group_name_H-M_alt 'R -3'
_space_group_IT_number 148
_space_group_name_Hall '-R 3'
loop_
_atom_site_label
_atom_site_type_symbol
_atom_site_fract_x
_atom_site_fract_y
_atom_site_fract_z
Ce1 Ce 0.0000 0.0000 0.0000
Pr1 Pr 0.0589 0.2504 0.7104
Y1 Y 0.0000 0.0000 0.4225
Y2 Y 0.0812 0.5667 0.8057
# calculated total energy	-5.635	eV/atom
# crystal system	trigonal
# formation energy from the elements	0.120	eV per atom
# Fermi-level density of states	26.80	states/eV/f.u.
# total magnetic moment	3.8	Bohr magnetons per cell

No. 12
# CePr7Y12, optimized geometry, DFT GGA-PBE
data_CePr7Y12
_chemical_formula_sum 'Ce3 Pr21 Y36'
_cell_length_a 12.4687
_cell_length_b 12.4687
_cell_length_c 15.2968
_cell_angle_alpha 90.00
_cell_angle_beta 90.00
_cell_angle_gamma 120.00
_space_group_name_H-M_alt 'R -3'
_space_group_IT_number 148
_space_group_name_Hall '-R 3'
loop_
_atom_site_label
_atom_site_type_symbol
_atom_site_fract_x
_atom_site_fract_y
_atom_site_fract_z
Ce1 Ce 0.0000 0.0000 0.0000
Pr1 Pr 0.0000 0.0000 0.5000
Pr2 Pr 0.0646 0.8327 0.9016
Y1 Y 0.0223 0.4386 0.2112
Y2 Y 0.0433 0.1863 0.3114
# calculated total energy	-5.627	eV/atom
# crystal system	trigonal
# formation energy from the elements	0.221	eV per atom
# Fermi-level density of states	41.36	states/eV/f.u.
# total magnetic moment	0.0	Bohr magnetons per cell